1.
Density functional theory data (PBE-GGA) for an optimized crystal structure of Ag2TeO5.

Results
Volume: 228.67 Å³ per cell
Total moment: 0.0 μB per formula unit
Formation energy from raw total energies: -0.46 eV/atom

a b c (Å): 6.1119 7.2978 6.6788
angles (deg): 63.76 62.77 65.24
Atoms (fractional coordinates):
1 Ag 0.7106 0.4333 0.2993
2 Ag 0.2590 0.9625 0.4160
3 Ag 0.5568 0.9333 0.7993
4 Ag 0.3625 0.4625 0.9160
5 Te 0.9524 0.8130 0.2867
6 Te 0.9479 0.3130 0.7867
7 O 0.6881 0.3301 0.6751
8 O 0.0247 0.6313 0.1116
9 O 0.1383 0.2878 0.9632
10 O 0.3067 0.8301 0.1751
11 O 0.2324 0.1313 0.6116
12 O 0.6108 0.7878 0.4632
13 O 0.6470 0.4990 0.9708
14 O 0.8832 0.9990 0.4708
15 O 0.8286 0.0615 0.0435
16 O 0.0664 0.5615 0.5435



2.
Density functional theory data (PBE-GGA) for an optimized crystal structure of Nd12SmRh7.

Results
DFT formation energy: -898 kJ/mol of formula units
Volume: 611.58 Å³ per cell
Total moment: 0.0 μB per formula unit

a b c (Å): 9.0317 9.0317 9.0317
angles (deg): 107.12 107.12 107.12
Atoms (fractional coordinates):
1 Nd 0.9244 0.3077 0.7760
2 Nd 0.6923 0.2240 0.0756
3 Nd 0.4605 0.1569 0.3805
4 Nd 0.8431 0.6195 0.5395
5 Nd 0.2240 0.0756 0.6923
6 Nd 0.6195 0.5395 0.8431
7 Nd 0.3805 0.4605 0.1569
8 Nd 0.7760 0.9244 0.3077
9 Nd 0.1569 0.3805 0.4605
10 Nd 0.5395 0.8431 0.6195
11 Nd 0.3077 0.7760 0.9244
12 Nd 0.0756 0.6923 0.2240
13 Sm 0.0000 0.0000 0.0000
14 Rh 0.9635 0.6455 0.8787
15 Rh 0.3545 0.1213 0.0365
16 Rh 0.1213 0.0365 0.3545
17 Rh 0.5000 0.5000 0.5000
18 Rh 0.8787 0.9635 0.6455
19 Rh 0.6455 0.8787 0.9635
20 Rh 0.0365 0.3545 0.1213